Entry 1:
A geometry-optimized LaCd2Sn2 structure. Source: Alexandria via LeMat-Bulk, functional PBE.

a b c (Å): 12.680 12.680 4.606
angles (deg): 90.00 90.00 159.27
Positions (direct):
La  0.148  0.852  0.750
La  0.852  0.148  0.250
Cd  0.041  0.959  0.250
Cd  0.457  0.543  0.250
Cd  0.543  0.457  0.750
Cd  0.959  0.041  0.750
Sn  0.249  0.751  0.250
Sn  0.372  0.628  0.750
Sn  0.628  0.372  0.250
Sn  0.751  0.249  0.750

Properties
crystal system: orthorhombic
magnetization: 0.000 μB/cell
formation energy from the elements: -0.419 eV per atom

---

Entry 2:
A geometry-optimized La3Cd4Sn2 structure. Source: Alexandria via LeMat-Bulk, functional PBE.

a b c (Å): 6.448 6.448 9.538
angles (deg): 109.50 109.50 44.01
Positions (direct):
La  0.000  0.000  0.000
La  0.322  0.322  0.352
La  0.678  0.678  0.648
Cd  0.010  0.010  0.354
Cd  0.247  0.247  0.919
Cd  0.753  0.753  0.081
Cd  0.990  0.990  0.646
Sn  0.389  0.389  0.725
Sn  0.611  0.611  0.275

Properties
crystal system: monoclinic
magnetization: 0.000 μB/cell
formation energy from the elements: -0.537 eV per atom

---

Entry 3:
A geometry-optimized La2CdSn2 structure. Source: Alexandria via LeMat-Bulk, functional PBE.

a b c (Å): 6.521 6.521 11.407
angles (deg): 114.23 114.23 43.15
Positions (direct):
La  0.001  0.001  0.328
La  0.183  0.183  0.104
La  0.817  0.817  0.896
La  0.999  0.999  0.672
Cd  0.294  0.294  0.659
Cd  0.706  0.706  0.341
Sn  0.355  0.355  0.428
Sn  0.461  0.461  0.108
Sn  0.539  0.539  0.892
Sn  0.645  0.645  0.572

Properties
crystal system: monoclinic
magnetization: 0.000 μB/cell
formation energy from the elements: -0.669 eV per atom

---

Entry 4:
A geometry-optimized LaCdSn2 structure. Source: Alexandria via LeMat-Bulk, functional PBE.

a b c (Å): 4.845 4.845 4.612
angles (deg): 90.00 90.00 90.00
Positions (direct):
La  0.000  0.000  0.000
Cd  0.500  0.500  0.000
Sn  0.000  0.500  0.500
Sn  0.500  0.000  0.500

Properties
crystal system: tetragonal
magnetization: 0.000 μB/cell
formation energy from the elements: -0.543 eV per atom

---

Entry 5:
A geometry-optimized La2CdSn2 structure. Source: Alexandria via LeMat-Bulk, functional PBE.

a b c (Å): 6.345 6.345 8.742
angles (deg): 90.00 90.00 90.00
Positions (direct):
La  0.000  0.500  0.250
La  0.000  0.500  0.750
La  0.500  0.000  0.250
La  0.500  0.000  0.750
Cd  0.000  0.000  0.000
Cd  0.500  0.500  0.500
Sn  0.000  0.000  0.332
Sn  0.000  0.000  0.668
Sn  0.500  0.500  0.168
Sn  0.500  0.500  0.832

Properties
crystal system: tetragonal
magnetization: 0.407 μB/cell
formation energy from the elements: -0.218 eV per atom

---

Entry 6:
A geometry-optimized La2Cd2Sn structure. Source: Alexandria via LeMat-Bulk, functional PBE.

a b c (Å): 9.036 9.036 3.881
angles (deg): 90.00 90.00 90.00
Positions (direct):
La  0.175  0.325  0.000
La  0.325  0.825  0.000
La  0.675  0.175  0.000
La  0.825  0.675  0.000
Cd  0.123  0.623  0.500
Cd  0.377  0.123  0.500
Cd  0.623  0.877  0.500
Cd  0.877  0.377  0.500
Sn  0.000  0.000  0.000
Sn  0.500  0.500  0.000

Properties
crystal system: tetragonal
magnetization: 0.000 μB/cell
formation energy from the elements: -0.193 eV per atom

---

Entry 7:
A geometry-optimized Sr2LaCd2Sn2 structure. Source: Alexandria via LeMat-Bulk, functional PBE.

a b c (Å): 12.575 12.575 12.575
angles (deg): 22.20 22.20 22.20
Positions (direct):
Sr  0.119  0.119  0.119
Sr  0.881  0.881  0.881
La  0.000  0.000  0.000
Cd  0.382  0.382  0.382
Cd  0.618  0.618  0.618
Sn  0.271  0.271  0.271
Sn  0.729  0.729  0.729

Properties
crystal system: trigonal
magnetization: 0.000 μB/cell
formation energy from the elements: -0.434 eV per atom

---

Entry 8:
A geometry-optimized LaTaCdSn2 structure. Source: Alexandria via LeMat-Bulk, functional PBE.

a b c (Å): 5.344 5.344 5.831
angles (deg): 90.00 90.00 90.00
Positions (direct):
La  0.000  0.000  0.000
Ta  0.500  0.500  0.000
Cd  0.000  0.000  0.500
Sn  0.000  0.500  0.500
Sn  0.500  0.000  0.500

Properties
crystal system: tetragonal
magnetization: 2.811 μB/cell
formation energy from the elements: 1.141 eV per atom

---

Entry 9:
A geometry-optimized LaThCdSn structure. Source: Alexandria via LeMat-Bulk, functional PBE.

a b c (Å): 7.792 7.792 7.792
angles (deg): 90.00 90.00 90.00
Positions (direct):
La  0.000  0.000  0.000
La  0.000  0.500  0.500
La  0.500  0.000  0.500
La  0.500  0.500  0.000
Th  0.000  0.000  0.500
Th  0.000  0.500  0.000
Th  0.500  0.000  0.000
Th  0.500  0.500  0.500
Cd  0.250  0.250  0.250
Cd  0.250  0.750  0.750
Cd  0.750  0.250  0.750
Cd  0.750  0.750  0.250
Sn  0.250  0.250  0.750
Sn  0.250  0.750  0.250
Sn  0.750  0.250  0.250
Sn  0.750  0.750  0.750

Properties
crystal system: cubic
magnetization: 0.002 μB/cell
formation energy from the elements: -0.373 eV per atom

---

Entry 10:
A geometry-optimized LaTlCdSn2 structure. Source: Alexandria via LeMat-Bulk, functional PBE.

a b c (Å): 6.070 6.070 6.340
angles (deg): 90.00 90.00 90.00
Positions (direct):
La  0.000  0.000  0.000
Tl  0.000  0.000  0.500
Cd  0.500  0.500  0.500
Sn  0.000  0.500  0.000
Sn  0.500  0.000  0.000

Properties
crystal system: tetragonal
magnetization: 0.000 μB/cell
formation energy from the elements: 0.598 eV per atom

---

Entry 11:
A geometry-optimized SrLaCd3 structure. Source: Alexandria via LeMat-Bulk, functional PBE.

a b c (Å): 5.731 5.731 5.731
angles (deg): 90.00 90.00 90.00
Positions (direct):
Sr  0.000  0.000  0.000
La  0.500  0.500  0.500
Cd  0.000  0.000  0.500
Cd  0.000  0.500  0.000
Cd  0.500  0.000  0.000

Properties
crystal system: cubic
magnetization: 0.009 μB/cell
formation energy from the elements: 0.471 eV per atom
excess energy over the best structure of this formula in the dataset: 782 meV per atom

---

Entry 12:
A geometry-optimized SrLaCd4 structure. Source: Alexandria via LeMat-Bulk, functional PBE.

a b c (Å): 6.144 6.144 6.144
angles (deg): 60.00 60.00 60.00
Positions (direct):
Sr  0.000  0.000  0.000
La  0.250  0.250  0.250
Cd  0.127  0.624  0.624
Cd  0.624  0.127  0.624
Cd  0.624  0.624  0.127
Cd  0.624  0.624  0.624

Properties
crystal system: cubic
magnetization: 0.000 μB/cell
formation energy from the elements: -0.308 eV per atom
excess energy over the best structure of this formula in the dataset: 0 meV per atom

---

Entry 13:
A geometry-optimized SrLa2Cd8 structure. Source: Alexandria via LeMat-Bulk, functional PBE.

a b c (Å): 9.316 9.316 5.479
angles (deg): 107.10 107.10 124.82
Positions (direct):
Sr  0.000  0.000  0.000
La  0.310  0.690  0.500
La  0.690  0.310  0.500
Cd  0.098  0.358  0.729
Cd  0.204  0.796  0.000
Cd  0.358  0.098  0.729
Cd  0.499  0.499  0.750
Cd  0.501  0.501  0.250
Cd  0.642  0.902  0.271
Cd  0.796  0.204  0.000
Cd  0.902  0.642  0.271

Properties
crystal system: monoclinic
magnetization: 0.000 μB/cell
formation energy from the elements: -0.310 eV per atom

---

Entry 14:
A geometry-optimized Sr2LaCd6 structure. Source: Alexandria via LeMat-Bulk, functional PBE.

a b c (Å): 8.920 8.920 3.736
angles (deg): 90.00 90.00 120.00
Positions (direct):
Sr  0.333  0.667  0.000
Sr  0.667  0.333  0.000
La  0.000  0.000  0.000
Cd  0.000  0.333  0.500
Cd  0.000  0.667  0.500
Cd  0.333  0.000  0.500
Cd  0.333  0.333  0.500
Cd  0.667  0.000  0.500
Cd  0.667  0.667  0.500

Properties
crystal system: hexagonal
magnetization: 0.000 μB/cell
formation energy from the elements: -0.335 eV per atom

---

Entry 15:
A geometry-optimized SrLa3Cd structure. Source: Alexandria via LeMat-Bulk, functional PBE.

a b c (Å): 6.104 6.104 6.104
angles (deg): 90.00 90.00 90.00
Positions (direct):
Sr  0.000  0.000  0.000
La  0.000  0.500  0.500
La  0.500  0.000  0.500
La  0.500  0.500  0.000
Cd  0.500  0.500  0.500

Properties
crystal system: cubic
magnetization: 0.003 μB/cell
formation energy from the elements: 0.255 eV per atom
excess energy over the best structure of this formula in the dataset: 0 meV per atom

---

Entry 16:
A geometry-optimized Sr2LaCd structure. Source: Alexandria via LeMat-Bulk, functional PBE.

a b c (Å): 4.028 4.028 35.256
angles (deg): 90.00 90.00 120.00
Positions (direct):
Sr  0.000  0.000  0.239
Sr  0.000  0.000  0.761
Sr  0.333  0.667  0.427
Sr  0.333  0.667  0.906
Sr  0.667  0.333  0.094
Sr  0.667  0.333  0.573
La  0.000  0.000  0.000
La  0.333  0.667  0.667
La  0.667  0.333  0.333
Cd  0.000  0.000  0.500
Cd  0.333  0.667  0.167
Cd  0.667  0.333  0.833

Properties
crystal system: trigonal
magnetization: 0.489 μB/cell
formation energy from the elements: 0.023 eV per atom

---

Entry 17:
A geometry-optimized Sr2LaCd structure. Source: Alexandria via LeMat-Bulk, functional PBE.

a b c (Å): 9.709 9.709 7.117
angles (deg): 90.00 90.00 90.00
Positions (direct):
Sr  0.196  0.250  0.125
Sr  0.250  0.696  0.375
Sr  0.250  0.804  0.875
Sr  0.304  0.250  0.625
Sr  0.696  0.750  0.625
Sr  0.750  0.196  0.875
Sr  0.750  0.304  0.375
Sr  0.804  0.750  0.125
La  0.000  0.000  0.500
La  0.000  0.500  0.750
La  0.500  0.000  0.250
La  0.500  0.500  0.000
Cd  0.000  0.000  0.000
Cd  0.000  0.500  0.250
Cd  0.500  0.000  0.750
Cd  0.500  0.500  0.500

Properties
crystal system: tetragonal
magnetization: 3.860 μB/cell
formation energy from the elements: 0.151 eV per atom

---

Entry 18:
A geometry-optimized Sr2LaCd structure. Source: Alexandria via LeMat-Bulk, functional PBE.

a b c (Å): 4.072 6.119 12.911
angles (deg): 90.00 90.00 90.00
Positions (direct):
Sr  0.000  0.000  0.000
Sr  0.000  0.500  0.211
Sr  0.500  0.000  0.711
Sr  0.500  0.500  0.500
La  0.000  0.000  0.414
La  0.500  0.500  0.914
Cd  0.000  0.500  0.715
Cd  0.500  0.000  0.215

Properties
crystal system: orthorhombic
magnetization: 0.003 μB/cell
formation energy from the elements: -0.055 eV per atom

---

Entry 19:
A geometry-optimized SrLaCd17 structure. Source: Alexandria via LeMat-Bulk, functional PBE.

a b c (Å): 7.753 7.753 7.753
angles (deg): 82.40 82.40 82.40
Positions (direct):
Sr  0.000  0.000  0.000
La  0.333  0.333  0.333
Cd  0.028  0.028  0.491
Cd  0.028  0.491  0.028
Cd  0.158  0.670  0.670
Cd  0.311  0.311  0.814
Cd  0.311  0.814  0.311
Cd  0.367  0.664  0.964
Cd  0.367  0.964  0.664
Cd  0.491  0.028  0.028
Cd  0.562  0.562  0.562
Cd  0.664  0.367  0.964
Cd  0.664  0.964  0.367
Cd  0.670  0.158  0.670
Cd  0.670  0.670  0.158
Cd  0.763  0.763  0.763
Cd  0.814  0.311  0.311
Cd  0.964  0.367  0.664
Cd  0.964  0.664  0.367

Properties
crystal system: trigonal
magnetization: 0.000 μB/cell
formation energy from the elements: -0.177 eV per atom

---

Entry 20:
A geometry-optimized Sr2LaCd structure. Source: Alexandria via LeMat-Bulk, functional PBE.

a b c (Å): 3.889 3.889 10.390
angles (deg): 90.00 90.00 90.00
Positions (direct):
Sr  0.000  0.000  0.207
Sr  0.000  0.000  0.793
La  0.500  0.500  0.500
Cd  0.500  0.500  0.000

Properties
crystal system: tetragonal
magnetization: 0.000 μB/cell
formation energy from the elements: -0.058 eV per atom

---

Entry 21:
A geometry-optimized SrLaCd3 structure. Source: Alexandria via LeMat-Bulk, functional PBE.

a b c (Å): 15.450 15.450 5.075
angles (deg): 90.00 90.00 165.58
Positions (direct):
Sr  0.074  0.926  0.750
Sr  0.926  0.074  0.250
La  0.212  0.788  0.250
La  0.788  0.212  0.750
Cd  0.326  0.674  0.250
Cd  0.379  0.621  0.750
Cd  0.476  0.524  0.750
Cd  0.524  0.476  0.250
Cd  0.621  0.379  0.250
Cd  0.674  0.326  0.750

Properties
crystal system: orthorhombic
magnetization: 0.000 μB/cell
formation energy from the elements: -0.311 eV per atom
excess energy over the best structure of this formula in the dataset: 0 meV per atom

---

Entry 22:
A geometry-optimized SrLaCd6 structure. Source: Alexandria via LeMat-Bulk, functional PBE.

a b c (Å): 5.095 7.197 11.811
angles (deg): 90.00 90.00 90.00
Positions (direct):
Sr  0.000  0.000  0.000
Sr  0.000  0.500  0.500
La  0.500  0.000  0.696
La  0.500  0.500  0.196
Cd  0.000  0.000  0.515
Cd  0.000  0.220  0.263
Cd  0.000  0.280  0.763
Cd  0.000  0.500  0.015
Cd  0.000  0.720  0.763
Cd  0.000  0.780  0.263
Cd  0.500  0.000  0.190
Cd  0.500  0.213  0.431
Cd  0.500  0.287  0.931
Cd  0.500  0.500  0.690
Cd  0.500  0.713  0.931
Cd  0.500  0.787  0.431

Properties
crystal system: orthorhombic
magnetization: 0.000 μB/cell
formation energy from the elements: -0.280 eV per atom

---

Entry 23:
A geometry-optimized SrLaCd structure. Source: Alexandria via LeMat-Bulk, functional PBE.

a b c (Å): 7.825 7.825 7.825
angles (deg): 90.00 90.00 90.00
Positions (direct):
Sr  0.000  0.000  0.000
Sr  0.000  0.500  0.500
Sr  0.500  0.000  0.500
Sr  0.500  0.500  0.000
La  0.000  0.000  0.500
La  0.000  0.500  0.000
La  0.500  0.000  0.000
La  0.500  0.500  0.500
Cd  0.250  0.250  0.750
Cd  0.250  0.750  0.250
Cd  0.750  0.250  0.250
Cd  0.750  0.750  0.750

Properties
crystal system: cubic
magnetization: 0.012 μB/cell
formation energy from the elements: 0.011 eV per atom
excess energy over the best structure of this formula in the dataset: 181 meV per atom

---

Entry 24:
A geometry-optimized Sr2La2Cd3 structure. Source: Alexandria via LeMat-Bulk, functional PBE.

a b c (Å): 9.853 9.853 9.853
angles (deg): 32.76 32.76 32.76
Positions (direct):
Sr  0.126  0.126  0.126
Sr  0.874  0.874  0.874
La  0.376  0.376  0.376
La  0.624  0.624  0.624
Cd  0.000  0.000  0.000
Cd  0.256  0.256  0.256
Cd  0.744  0.744  0.744

Properties
crystal system: trigonal
magnetization: 0.000 μB/cell
formation energy from the elements: -0.228 eV per atom

---

Entry 25:
A geometry-optimized Sr2LaCd structure. Source: Alexandria via LeMat-Bulk, functional PBE.

a b c (Å): 4.180 6.003 12.624
angles (deg): 90.00 90.00 90.00
Positions (direct):
Sr  0.000  0.000  0.211
Sr  0.000  0.000  0.789
Sr  0.500  0.500  0.289
Sr  0.500  0.500  0.711
La  0.000  0.500  0.000
La  0.500  0.000  0.500
Cd  0.000  0.500  0.500
Cd  0.500  0.000  0.000

Properties
crystal system: orthorhombic
magnetization: 0.357 μB/cell
formation energy from the elements: -0.026 eV per atom

---

Entry 26:
A geometry-optimized SrLaCd structure. Source: Alexandria via LeMat-Bulk, functional PBE.

a b c (Å): 5.519 5.519 7.954
angles (deg): 90.00 90.00 90.00
Positions (direct):
Sr  0.250  0.750  0.000
Sr  0.750  0.250  0.000
La  0.250  0.750  0.500
La  0.750  0.250  0.500
Cd  0.250  0.250  0.268
Cd  0.750  0.750  0.732

Properties
crystal system: tetragonal
magnetization: 0.395 μB/cell
formation energy from the elements: -0.017 eV per atom
excess energy over the best structure of this formula in the dataset: 152 meV per atom